! BaNiO | Alexandria via LeMat-Bulk | PBE+U | relaxed; values from VASP
&SYSTEM
  ibrav = 0, nat = 6, ntyp = 3
/
ATOMIC_SPECIES
Ba 137.33 Ba.upf
Ni 58.69 Ni.upf
O 16.00 O.upf
CELL_PARAMETERS angstrom
3.980 0.000 0.000
0.000 3.968 0.000
-1.976 0.000 7.889
ATOMIC_POSITIONS crystal
Ba 0.160 0.250 0.319
Ba 0.840 0.750 0.681
Ni 0.452 0.250 0.908
Ni 0.548 0.750 0.092
O 0.326 0.250 0.653
O 0.674 0.750 0.347
! **Crystal system**: monoclinic
! **Spin magnetization**: 2.02 μB/cell
! **Distance to the lowest polymorph of the same formula**: 0 meV per atom
! **Fermi-level density of states**: 0.2 states/eV/f.u.
! **E_tot**: -25.961 eV/cell